Entry 1:
Entry from Alexandria via LeMat-Bulk: a relaxed structure of La2HgPd (PBE-GGA).

The space group is Pmma (No. 51) and the conventional cell measures 7.520, 3.765 and 7.683 Å, with angles of 90.00, 90.00 and 90.00 degrees. The asymmetric unit holds La at (0.012, 0.000, 0.228), Hg at (0.250, 0.500, 0.519) and Pd at (0.250, 0.500, 0.964).

As for the formation energy from the elements: -623 meV per atom. The calculation puts the volume at 217.5 Å³ per cell. For the total energy, the calculation gives -4.460 eV per atom.



Entry 2:
Entry from Alexandria via LeMat-Bulk: a relaxed structure of USIO (PBE-GGA).

The space group is Cm (No. 8) and the conventional cell measures 6.637, 3.831 and 8.148 Å, with angles of 90.00, 105.87 and 90.00 degrees. The asymmetric unit holds U at (0.000, 0.000, 0.000), S at (0.264, 0.000, 0.793), I at (0.440, 0.000, 0.318) and O at (0.177, 0.500, 0.031).

The calculation puts the formation energy (no corrections) at -1.73 eV per atom. The calculation puts the volume at 199.3 Å³ per cell. For the total energy, the calculation gives -7.213 eV per atom.